[1]
Below is a relaxed CdFe2Se crystal, with properties calculated at the GGA-PBE level.

Properties
* formation energy (no corrections): 0.282 eV/atom

Cell: 2.902 4.535 10.358 Å, 90.00 90.00 90.00°
Space group Imm2 (No. 44)
Asymmetric unit:
Cd 0.000 0.000 0.000 (multiplicity 2)
Fe 0.000 0.000 0.529 (multiplicity 2)
Fe 0.000 0.500 0.837 (multiplicity 2)
Se 0.000 0.500 0.220 (multiplicity 2)


[2]
Below is a relaxed TbPr2Y4 crystal, with properties calculated at the GGA-PBE level.

Properties
* energy above the most stable polymorph in this dataset: 209 meV/atom

Cell: 8.531 8.531 6.607 Å, 90.00 90.00 90.00°
Space group I4/mmm (No. 139)
Asymmetric unit:
Tb 0.000 0.000 0.000 (multiplicity 2)
Pr 0.000 0.500 0.250 (multiplicity 4)
Y 0.199 0.199 0.500 (multiplicity 8)


[3]
Below is a relaxed Zn2GaTe crystal, with properties calculated at the GGA-PBE level.

Properties
* energy above the most stable polymorph in this dataset: 111 meV/atom
* formation energy (no corrections): 0.175 eV/atom

Cell: 7.008 7.008 7.008 Å, 90.00 90.00 90.00°
Space group Fm-3m (No. 225)
Asymmetric unit:
Zn 0.250 0.250 0.250 (multiplicity 8)
Ga 0.000 0.000 0.000 (multiplicity 4)
Te 0.000 0.000 0.500 (multiplicity 4)


[4]
Below is a relaxed MnNi8Sn2 crystal, with properties calculated at the GGA-PBE level.

Properties
* raw total energy: -5.834 eV/atom

Cell: 13.282 3.781 5.942 Å, 90.00 109.15 90.00°
Space group C2/m (No. 12)
Asymmetric unit:
Mn 0.000 0.000 0.000 (multiplicity 2)
Ni 0.034 0.500 0.727 (multiplicity 4)
Ni 0.084 0.000 0.447 (multiplicity 4)
Ni 0.135 0.500 0.180 (multiplicity 4)
Ni 0.167 0.000 0.906 (multiplicity 4)
Sn 0.217 0.500 0.665 (multiplicity 4)


[5]
Below is a relaxed CeZnSnAu crystal, with properties calculated at the GGA-PBE level.

Properties
* raw total energy: -4.112 eV/atom

Cell: 7.079 7.079 7.079 Å, 90.00 90.00 90.00°
Space group F-43m (No. 216)
Asymmetric unit:
Ce 0.000 0.000 0.000 (multiplicity 4)
Zn 0.250 0.250 0.750 (multiplicity 4)
Sn 0.000 0.000 0.500 (multiplicity 4)
Au 0.250 0.250 0.250 (multiplicity 4)


[6]
Below is a relaxed KPRu3 crystal, with properties calculated at the GGA-PBE level.

Properties
* energy above the most stable polymorph in this dataset: 0 meV/atom

Cell: 4.509 4.509 4.509 Å, 90.00 90.00 90.00°
Space group Pm-3m (No. 221)
Asymmetric unit:
K 0.000 0.000 0.000 (multiplicity 1)
P 0.500 0.500 0.500 (multiplicity 1)
Ru 0.000 0.500 0.500 (multiplicity 3)


[7]
Below is a relaxed HgPd4Au crystal, with properties calculated at the GGA-PBE level.

Properties
* energy above the most stable polymorph in this dataset: 0 meV/atom

Cell: 2.806 4.582 7.917 Å, 90.00 90.00 90.00°
Space group Pmmm (No. 47)
Asymmetric unit:
Hg 0.000 0.000 0.000 (multiplicity 1)
Pd 0.500 0.000 0.335 (multiplicity 2)
Pd 0.500 0.500 0.169 (multiplicity 2)
Au 0.000 0.500 0.500 (multiplicity 1)


[8]
Below is a relaxed Rb2YSiTe crystal, with properties calculated at the GGA-PBE level.

Properties
* formation energy (no corrections): 0.544 eV/atom

Cell: 7.144 7.144 5.188 Å, 90.00 90.00 90.00°
Space group P4/mmm (No. 123)
Asymmetric unit:
Rb 0.000 0.500 0.000 (multiplicity 2)
Y 0.000 0.000 0.000 (multiplicity 1)
Si 0.000 0.000 0.500 (multiplicity 1)
Te 0.500 0.500 0.500 (multiplicity 1)